Here is a relaxed ZnSb2MoI crystal from the Alexandria database. Energies are from PBE.

## Properties
**Energy above the lowest structure with this stoichiometry**: 0 kJ/mol of formula units
**Volume**: 31.8 Å³/atom
**Magnetization**: 0.43 μB per cell
**Formation energy without anion corrections**: 0.544 eV per atom
**Symmetry**: P4/mmm, No. 123

a = 5.181 Å, b = 5.181 Å, c = 5.931 Å
α = 90.00°, β = 90.00°, γ = 90.00°
Fractional positions:
Zn: 0.000 0.000 0.000
Sb: 0.000 0.500 0.500
Sb: 0.500 0.000 0.500
Mo: 0.500 0.500 0.500
I: 0.500 0.500 0.000